1.
## FeCo5 (PBEsol)

Data for a relaxed structure of FeCo5.

abc: 2.4144 4.7674 5.9111
angles: 97.39 101.06 104.75
Last column: nearest neighbours and their distance in Å.
Element x y z (fractional)
Co 0.2680 0.3274 0.3290  1 Fe 2.32, 9 Co 2.32-2.57
Co 0.1226 0.8235 0.3449  9 Co 2.35-2.58, 1 Fe 2.37
Co 0.7320 0.6726 0.6710  1 Fe 2.32, 9 Co 2.32-2.57
Co 0.5000 0.0000 0.0000  2 Fe 2.38, 10 Co 2.41-2.65
Co 0.8774 0.1765 0.6551  9 Co 2.35-2.58, 1 Fe 2.37
Fe 0.5000 0.5000 0.0000  6 Co 2.32-2.38, 2 Fe 2.41

Computed properties:
Its energy of formation from the pure elements is 0.07 eV/atom. As for the calculated total energy: -0.289 hartree per atom. As for the symmetry: P-1, No. 2.

2.
## In2RuCl (PBEsol)

Data for a relaxed structure of In2RuCl.

abc: 4.7376 4.7376 4.7376
angles: 60.00 60.00 60.00
Last column: nearest neighbours and their distance in Å.
Element x y z (fractional)
In 0.7500 0.7500 0.7500  4 Cl 2.90, 4 In 2.90
In 0.0000 0.0000 0.0000  4 In 2.90, 4 Ru 2.90
Ru 0.2500 0.2500 0.2500  4 Cl 2.90, 4 In 2.90
Cl 0.5000 0.5000 0.5000  4 In 2.90, 4 Ru 2.90

Computed properties:
As for the calculated total energy: -0.149 hartree per atom. As for the symmetry: F-43m, No. 216. Its polymorph energy (0 for the lowest one) is 1.88 eV per formula unit.

3.
## LaAl4In (PBEsol)

Data for a relaxed structure of LaAl4In.

abc: 5.6270 5.6270 5.6270
angles: 60.00 60.00 60.00
Last column: nearest neighbours and their distance in Å.
Element x y z (fractional)
La 0.0000 0.0000 0.0000  12 Al 3.30, 4 In 3.45
Al 0.3751 0.3751 0.8747  6 Al 2.81-2.82
Al 0.3751 0.3751 0.3751  6 Al 2.81-2.82
Al 0.3751 0.8747 0.3751  6 Al 2.81-2.82
Al 0.8747 0.3751 0.3751  6 Al 2.81-2.82
In 0.7500 0.7500 0.7500  12 Al 3.30, 4 La 3.45

Computed properties:
Its energy of formation from the pure elements is -0.18 eV/atom. As for the calculated total energy: -0.158 hartree per atom. As for the symmetry: F-43m, No. 216.

4.
## Pr3Cd (PBEsol)

Data for a relaxed structure of Pr3Cd.

abc: 4.8453 4.8453 6.0687
angles: 113.53 113.53 90.00
Last column: nearest neighbours and their distance in Å.
Element x y z (fractional)
Pr 0.5000 0.5000 0.0000  4 Cd 3.43, 8 Pr 3.48
Pr 0.7500 0.2500 0.5000  8 Pr 3.43-3.48, 4 Cd 3.48
Pr 0.2500 0.7500 0.5000  8 Pr 3.43-3.48, 4 Cd 3.48
Cd 0.0000 0.0000 0.0000  12 Pr 3.43-3.48

Computed properties:
Its energy of formation from the pure elements is -0.14 eV/atom. As for the calculated total energy: -0.159 hartree per atom. As for the symmetry: I4/mmm, No. 139.